The following is a PBE calculation of a relaxed structure of CrTeP, from Alexandria via LeMat-Bulk.

**Final energy**: -5.2564 eV/atom
**Total magnetic moment**: 3.35 μB/f.u.
**SG**: No. 216
**Formation energy from raw total energies**: 2.41 eV/f.u.

Lattice parameters (Å, degrees): 4.5928 4.5928 4.5928 60.00 60.00 60.00
Last column: nearest neighbours and their distance in Å.
Positions (direct):
Cr1 0.0000 0.0000 0.0000  4 Te 2.81
P1 0.5000 0.5000 0.5000  4 Te 2.81
Te1 0.7500 0.7500 0.7500  4 Cr 2.81, 4 P 2.81